(1)
10
Lattice="4.3950 0.0000 0.0000 0.0000 4.3950 0.0000 0.0000 0.0000 10.3925" Properties=species:S:1:pos:R:3 comment="Sr2Zn4CuPt3, optimized geometry, DFT PBE-GGA" magnetic_moment_mub_per_fu=0.0 rho_g_cm3=9.0 spacegroup="P-4m2 (115)" energy_ha_per_atom=-0.1336 e_form_ev_per_atom=-0.57 pbc="T T T"
Pt 0.0000 2.1975 1.3838
Pt 2.1975 0.0000 9.0087
Pt 0.0000 0.0000 5.1963
Zn 0.0000 2.1975 3.9321
Zn 2.1975 2.1975 0.0000
Zn 0.0000 0.0000 0.0000
Zn 2.1975 0.0000 6.4604
Sr 0.0000 2.1975 7.7476
Sr 2.1975 0.0000 2.6449
Cu 2.1975 2.1975 5.1963


(2)
4
Lattice="3.1011 0.0000 0.0000 0.0000 3.1011 0.0000 0.0000 0.0000 10.0722" Properties=species:S:1:pos:R:3 comment="BaMg2Mo, optimized geometry, DFT PBE-GGA" magnetic_moment_mub_per_fu=0.0 rho_g_cm3=4.8 spacegroup="P4/mmm (123)" energy_ha_per_atom=-0.1273 e_form_ev_per_atom=0.52 pbc="T T T"
Mo 1.5505 1.5505 2.5180
Mg 0.0000 0.0000 4.5006
Mg 0.0000 0.0000 0.5355
Ba 1.5505 1.5505 7.5541